DFT (PBE) results for a relaxed AlVSiPb2 crystal.

Structure (extended XYZ):
```
5
Lattice="5.369 0.000 0.000 0.000 5.369 0.000 0.000 0.000 4.680" Properties=species:S:1:pos:R:3 pbc="T T T"
Al 0.000 0.000 0.000
V 2.685 2.685 2.340
Si 0.000 0.000 2.340
Pb 0.000 2.685 0.000
Pb 2.685 0.000 0.000
```

Formation energy (no corrections) ... 1.25 eV per atom
Magnetic moment ... 0.0 μB/cell

---

DFT (PBE) results for a relaxed Sm8AlPb6 crystal.

Structure (extended XYZ):
```
15
Lattice="4.702 2.715 6.461 -4.702 2.715 6.461 0.000 -5.430 6.461" Properties=species:S:1:pos:R:3 pbc="T T T"
Sm -2.543 0.044 7.851
Sm 0.000 0.000 3.268
Sm -1.310 -2.180 11.533
Sm 1.233 -2.225 7.851
Sm -1.233 2.225 11.533
Sm 1.310 2.180 7.851
Sm 0.000 0.000 16.116
Sm 2.543 -0.044 11.533
Al 0.000 0.000 9.692
Pb -1.766 -3.039 8.239
Pb -3.514 0.010 11.145
Pb -1.749 3.048 8.239
Pb 1.749 -3.048 11.145
Pb 3.514 -0.010 8.239
Pb 1.766 3.039 11.145
```

Magnetic moment ... 0.0 μB/cell
DFT formation energy ... -37 kJ per mole of atoms

---

DFT (PBE) results for a relaxed SmAlPb crystal.

Structure (extended XYZ):
```
12
Lattice="7.011 0.000 0.000 0.000 6.246 0.000 -3.467 0.000 7.828" Properties=species:S:1:pos:R:3 pbc="T T T"
Sm -0.001 0.000 2.148
Sm 0.039 3.123 5.680
Sm 3.505 3.123 2.148
Sm 3.544 0.000 5.680
Al 1.339 3.123 0.000
Al -1.301 0.000 7.828
Al 4.845 0.000 0.000
Al 2.205 3.123 7.828
Pb -0.005 3.123 2.534
Pb 0.043 0.000 5.294
Pb 3.500 0.000 2.534
Pb 3.549 3.123 5.294
```

Magnetic moment ... 0.0 μB/cell
DFT formation energy ... -20 kJ per mole of atoms

---

DFT (PBE) results for a relaxed Sm5Al2Pb crystal.

Structure (extended XYZ):
```
16
Lattice="-4.052 4.052 7.159 4.052 -4.052 7.159 4.052 4.052 -7.159" Properties=species:S:1:pos:R:3 pbc="T T T"
Sm 0.000 0.000 0.000
Sm 5.411 1.359 -2.092
Sm 1.359 2.692 -2.092
Sm 5.411 1.359 2.092
Sm 1.359 2.692 2.092
Sm 0.000 0.000 7.159
Sm 2.692 1.359 5.067
Sm -1.359 2.692 5.067
Sm 2.692 1.359 9.251
Sm -1.359 2.692 9.251
Al 3.069 0.982 0.000
Al 3.069 -0.982 7.159
Al 0.982 5.034 0.000
Al 0.982 3.069 7.159
Pb 0.000 0.000 3.580
Pb 0.000 0.000 10.739
```

Magnetic moment ... 0.0 μB/cell
DFT formation energy ... -35 kJ per mole of atoms

---

Which formula does entry 1 have?
AlVSiPb2

---

magnetic moment of number 3 (SmAlPb)?
0.0 μB/cell